No. 1
Cu6HgPd5 | PBE-GGA | optimized geometry

Unit cell a=7.478 b=7.478 c=7.478 alpha=146.42 beta=132.18 gamma=59.69
Sites, in units of the cell vectors:
Cu (0.072, 0.330, 0.743)
Cu (0.235, 0.000, 0.235)
Cu (0.413, 0.670, 0.743)
Cu (0.587, 0.330, 0.257)
Cu (0.765, 0.000, 0.765)
Cu (0.928, 0.670, 0.257)
Hg (0.500, 0.500, 0.000)
Pd (0.000, 0.500, 0.500)
Pd (0.169, 0.169, 0.000)
Pd (0.337, 0.837, 0.500)
Pd (0.663, 0.163, 0.500)
Pd (0.831, 0.831, 0.000)

Values from the calculation:
Calculated density (g/cm³): 10.89
Formation energy from the elements (kcal/mol of atoms): -2.30
E_tot (eV/atom): -4.3367

=====

No. 2
Cu2HgPd | PBE-GGA | optimized geometry

Unit cell a=9.625 b=9.625 c=9.625 alpha=157.10 beta=157.10 gamma=32.61
Sites, in units of the cell vectors:
Cu (0.105, 0.625, 0.980)
Cu (0.375, 0.355, 0.480)
Cu (0.645, 0.125, 0.020)
Cu (0.875, 0.895, 0.520)
Hg (0.250, 0.750, 0.500)
Hg (0.500, 0.500, 0.000)
Pd (0.000, 0.000, 0.000)
Pd (0.750, 0.250, 0.500)

Values from the calculation:
Calculated density (g/cm³): 10.69
Formation energy from the elements (kcal/mol of atoms): 4.97
E_tot (eV/atom): -3.2061

=====

No. 3
CuHgPd2 | PBE-GGA | optimized geometry

Unit cell a=9.812 b=9.812 c=9.812 alpha=157.30 beta=157.30 gamma=32.33
Sites, in units of the cell vectors:
Cu (0.000, 0.000, 0.000)
Cu (0.750, 0.250, 0.500)
Hg (0.250, 0.750, 0.500)
Hg (0.500, 0.500, 0.000)
Pd (0.114, 0.625, 0.989)
Pd (0.375, 0.364, 0.489)
Pd (0.636, 0.125, 0.011)
Pd (0.875, 0.886, 0.511)

Values from the calculation:
Calculated density (g/cm³): 11.26
Formation energy from the elements (kcal/mol of atoms): 4.29
E_tot (eV/atom): -3.5100

=====

No. 4
Cu6HgPd12 | PBE-GGA | optimized geometry

Unit cell a=7.175 b=7.175 c=7.175 alpha=106.92 beta=106.92 gamma=106.92
Sites, in units of the cell vectors:
Cu (0.298, 0.298, 0.702)
Cu (0.298, 0.702, 0.298)
Cu (0.298, 0.702, 0.702)
Cu (0.702, 0.298, 0.298)
Cu (0.702, 0.298, 0.702)
Cu (0.702, 0.702, 0.298)
Hg (0.000, 0.000, 0.000)
Pd (0.118, 0.500, 0.882)
Pd (0.118, 0.882, 0.500)
Pd (0.121, 0.363, 0.363)
Pd (0.363, 0.121, 0.363)
Pd (0.363, 0.363, 0.121)
Pd (0.500, 0.118, 0.882)
Pd (0.500, 0.882, 0.118)
Pd (0.637, 0.637, 0.879)
Pd (0.637, 0.879, 0.637)
Pd (0.879, 0.637, 0.637)
Pd (0.882, 0.118, 0.500)
Pd (0.882, 0.500, 0.118)

Values from the calculation:
Calculated density (g/cm³): 10.01
Formation energy from the elements (kcal/mol of atoms): 3.53
E_tot (eV/atom): -4.4360
Energy above the most stable polymorph in this dataset (meV per atom): 229.6

=====

No. 5
Cu2HgPd5 | PBE-GGA | optimized geometry

Unit cell a=7.297 b=7.297 c=7.297 alpha=124.88 beta=124.88 gamma=81.73
Sites, in units of the cell vectors:
Cu (0.143, 0.643, 0.785)
Cu (0.357, 0.143, 0.500)
Cu (0.643, 0.857, 0.500)
Cu (0.857, 0.357, 0.215)
Hg (0.250, 0.250, 0.000)
Hg (0.750, 0.750, 0.000)
Pd (0.000, 0.000, 0.000)
Pd (0.003, 0.801, 0.500)
Pd (0.199, 0.699, 0.202)
Pd (0.301, 0.503, 0.500)
Pd (0.497, 0.997, 0.798)
Pd (0.500, 0.500, 0.000)
Pd (0.503, 0.003, 0.202)
Pd (0.699, 0.497, 0.500)
Pd (0.801, 0.301, 0.798)
Pd (0.997, 0.199, 0.500)

Values from the calculation:
Calculated density (g/cm³): 11.35
Formation energy from the elements (kcal/mol of atoms): -0.15
E_tot (eV/atom): -4.3139
Energy above the most stable polymorph in this dataset (meV per atom): 59.0

=====

No. 6
Cu2HgPd7 | PBE-GGA | optimized geometry

Unit cell a=7.142 b=7.142 c=4.375 alpha=90.00 beta=90.00 gamma=119.49
Sites, in units of the cell vectors:
Cu (0.199, 0.801, 0.000)
Cu (0.801, 0.199, 0.000)
Hg (0.500, 0.500, 0.500)
Pd (0.000, 0.000, 0.000)
Pd (0.197, 0.430, 0.000)
Pd (0.282, 0.718, 0.500)
Pd (0.430, 0.197, 0.000)
Pd (0.570, 0.803, 0.000)
Pd (0.718, 0.282, 0.500)
Pd (0.803, 0.570, 0.000)

Values from the calculation:
Calculated density (g/cm³): 9.17
Formation energy from the elements (kcal/mol of atoms): 9.53
E_tot (eV/atom): -4.0714

=====

Among the records above, which one has the highest calculated density?
Cu2HgPd5

=====

Copy entry 4 word for word.
Cu6HgPd12 | PBE-GGA | optimized geometry

Unit cell a=7.175 b=7.175 c=7.175 alpha=106.92 beta=106.92 gamma=106.92
Sites, in units of the cell vectors:
Cu (0.298, 0.298, 0.702)
Cu (0.298, 0.702, 0.298)
Cu (0.298, 0.702, 0.702)
Cu (0.702, 0.298, 0.298)
Cu (0.702, 0.298, 0.702)
Cu (0.702, 0.702, 0.298)
Hg (0.000, 0.000, 0.000)
Pd (0.118, 0.500, 0.882)
Pd (0.118, 0.882, 0.500)
Pd (0.121, 0.363, 0.363)
Pd (0.363, 0.121, 0.363)
Pd (0.363, 0.363, 0.121)
Pd (0.500, 0.118, 0.882)
Pd (0.500, 0.882, 0.118)
Pd (0.637, 0.637, 0.879)
Pd (0.637, 0.879, 0.637)
Pd (0.879, 0.637, 0.637)
Pd (0.882, 0.118, 0.500)
Pd (0.882, 0.500, 0.118)

Values from the calculation:
Calculated density (g/cm³): 10.01
Formation energy from the elements (kcal/mol of atoms): 3.53
E_tot (eV/atom): -4.4360
Energy above the most stable polymorph in this dataset (meV per atom): 229.6

=====

Which formula does entry 3 have?
CuHgPd2